VASP calculation (PBE) on an optimized crystal structure of RbHg2BrO2.

```
RbHg2BrO2
1.0
6.6372 0.0000 0.0000
0.0000 6.9345 0.0000
-2.2552 0.0000 7.8120
Rb Hg Br O
2 4 2 4
Cartesian
-0.1266 1.7336 2.9060
4.5086 5.2008 4.9060
-0.5893 1.7336 6.9173
1.7011 5.2008 0.5107
2.6809 1.7336 7.3013
4.9714 5.2008 0.8948
1.3533 5.2008 3.0651
3.0287 1.7336 4.7469
-0.6264 3.7229 6.7018
-0.6264 6.6788 6.7018
5.0084 0.2556 1.1103
5.0084 3.2116 1.1103
```

Formation energy (no corrections) = -611 meV/atom
SG = P2_1/m (11)
Final energy = -2.80 eV per atom
Total magnetic moment = 0.000 μB per cell